<one>
The following is a DFT calculation (PBE) of crystalline Ce2Er12Tm5 at its relaxed geometry.

## Properties
crystal system	monoclinic

Cell: 17.433 11.461 6.021 Å, 90.00 103.04 90.00°
Space group C2/m (No. 12)
Symmetry-distinct sites (fractional):
Ce: 0.000 0.225 0.000 (multiplicity 4)
Er: 0.060 0.500 0.279 (multiplicity 4)
Er: 0.102 0.248 0.616 (multiplicity 8)
Er: 0.120 0.000 0.003 (multiplicity 4)
Er: 0.200 0.255 0.206 (multiplicity 8)
Tm: 0.000 0.000 0.500 (multiplicity 2)
Tm: 0.176 0.500 0.862 (multiplicity 4)
Tm: 0.214 0.000 0.553 (multiplicity 4)


<two>
The following is a DFT calculation (PBE) of crystalline Ce2Er12Tm5 at its relaxed geometry.

## Properties
crystal system	monoclinic

Cell: 15.243 9.124 8.486 Å, 90.00 92.24 90.00°
Space group C2/m (No. 12)
Symmetry-distinct sites (fractional):
Ce: 0.000 0.149 0.000 (multiplicity 4)
Er: 0.060 0.000 0.342 (multiplicity 4)
Er: 0.069 0.500 0.870 (multiplicity 4)
Er: 0.132 0.191 0.682 (multiplicity 8)
Er: 0.146 0.321 0.237 (multiplicity 8)
Tm: 0.000 0.500 0.500 (multiplicity 2)
Tm: 0.213 0.000 0.037 (multiplicity 4)
Tm: 0.230 0.500 0.566 (multiplicity 4)


Energy ordering: <one> at the bottom, the next structure 8 meV/atom above.